1.
Here is an optimized crystal structure of RbCdGaSe3 from the Open Quantum Materials Database. Energies are from PBE-GGA.

Computed properties:
Its total energy is -3.3559 eV per atom.

Cell lengths 8.075, 8.075, 11.590 Å; angles 90.00, 90.00, 151.07 degrees
Element x y z (fractional)
Cd 0.000 0.000 0.000
Cd 0.000 0.000 0.500
Ga 0.533 0.467 0.250
Ga 0.467 0.533 0.750
Rb 0.250 0.750 0.250
Rb 0.750 0.250 0.750
Se 0.614 0.386 0.073
Se 0.935 0.065 0.250
Se 0.614 0.386 0.427
Se 0.386 0.614 0.573
Se 0.065 0.935 0.750
Se 0.386 0.614 0.927


2.
Here is an optimized crystal structure of CdGa2Re from the Open Quantum Materials Database. Energies are from PBE-GGA.

Computed properties:
Its total energy is -4.1625 eV per atom.

Cell lengths 4.580, 4.580, 4.580 Å; angles 60.00, 60.00, 60.00 degrees
Element x y z (fractional)
Cd 0.750 0.750 0.750
Ga 0.250 0.250 0.250
Ga 0.500 0.500 0.500
Re 0.000 0.000 0.000


3.
Here is an optimized crystal structure of CdGa2S4 from the Open Quantum Materials Database. Energies are from PBE-GGA.

Computed properties:
Its total energy is -4.0432 eV per atom.

Cell lengths 6.520, 6.520, 5.599 Å; angles 115.42, 115.42, 105.03 degrees
Element x y z (fractional)
Cd 0.999 0.001 0.000
Ga 0.500 0.500 0.000
Ga 0.250 0.750 0.500
S 0.135 0.407 0.003
S 0.868 0.596 0.461
S 0.404 0.132 0.539
S 0.593 0.865 0.997


4.
Here is an optimized crystal structure of CdGa2S4 from the Open Quantum Materials Database. Energies are from PBE-GGA.

Computed properties:
Its total energy is -4.0438 eV per atom.

Cell lengths 5.616, 5.635, 6.510 Å; angles 115.53, 115.37, 90.06 degrees
Element x y z (fractional)
Cd 0.999 0.001 0.001
Ga 0.251 0.750 0.500
Ga 0.500 0.499 0.999
S 0.404 0.406 0.272
S 0.867 0.864 0.272
S 0.593 0.132 0.726
S 0.136 0.597 0.730